Record 1
Ca4SnHg2Au: optimized geometry, PBE.

```
Ca4SnHg2Au
1.0
-1.907 -4.390 -2.286
-1.217 -4.222 2.971
-9.227 0.176 1.207
Ca Sn Au Hg
4 1 1 2
Cartesian
-6.263 -7.444 1.060
-3.191 -5.329 0.589
-9.160 -3.107 1.303
-6.087 -0.992 0.831
0.000 0.000 0.000
-6.175 -4.218 0.946
-9.269 -6.325 1.420
-3.081 -2.111 0.472
```

E_tot ... -2.630 eV per atom
Formation energy from the elements ... -0.64 eV/atom
Total moment ... 0.00 μB/f.u.
SG ... R-3m, No. 166

=====

Record 2
KNi2Se: optimized geometry, PBE.

```
KNi2Se
1.0
-3.811 -0.871 4.103
2.219 -3.877 3.488
0.507 5.258 -2.052
Se K Ni
1 1 2
Cartesian
-0.673 -2.009 3.212
-2.029 1.069 2.824
-0.135 -0.401 0.642
0.957 -0.522 2.657
```

E_tot ... -3.812 eV per atom
Total moment ... 0.96 μB/f.u.
Formation energy without anion corrections ... 0.22 eV/atom
SG ... Imm2, No. 44

=====

Record 3
Ba2MgZr: optimized geometry, PBE.

```
Ba2MgZr
1.0
-0.509 -3.729 -0.995
2.411 0.476 -3.020
7.812 -2.622 5.826
Zr Ba Mg
1 2 1
Cartesian
6.356 -3.441 2.023
3.381 -2.442 -0.195
7.363 -2.471 5.491
4.332 -1.454 3.230
```

E_tot ... -3.209 eV per atom
Formation energy from the elements ... 0.29 eV/atom
Total moment ... 0.00 μB/f.u.
SG ... P4mm, No. 99